No. 1
Ta2ZnPb, optimized geometry, DFT PBE; SG = R-3m, No. 166; crystal system = trigonal; ΔE_f = 11.334 kcal/mol of atoms; N(E_F) = 4.0 states/eV per cell
1.0
-7.703 2.469 5.399
-9.151 1.701 2.820
-8.413 -0.452 4.858
Pb Ta Zn
1 2 1
Direct
0.750 0.750 0.750
0.505 0.505 0.505
0.995 0.995 0.995
0.250 0.250 0.250

No. 2
TaZn2Pb, optimized geometry, DFT PBE; SG = R3m, No. 160; crystal system = trigonal; ΔE_f = 7.242 kcal/mol of atoms; N(E_F) = 2.0 states/eV per cell
1.0
9.631 0.016 0.010
9.125 3.079 0.010
9.125 1.506 2.685
Pb Ta Zn
1 1 2
Direct
0.500 0.500 0.500
0.741 0.741 0.741
0.998 0.998 0.998
0.262 0.262 0.262

No. 3
Ta2ZnPb, optimized geometry, DFT PBE; SG = Imm2, No. 44; crystal system = orthorhombic; ΔE_f = 9.287 kcal/mol of atoms; N(E_F) = 1.9 states/eV per cell
1.0
5.411 -0.020 -0.022
2.250 4.921 0.022
-3.449 -3.048 2.846
Zn Ta Pb
1 2 1
Direct
0.506 0.506 0.000
0.754 0.254 0.500
0.986 0.986 0.000
0.254 0.754 0.500

No. 4
TaZn2Pb, optimized geometry, DFT PBE; SG = P2/m, No. 10; crystal system = monoclinic; ΔE_f = 8.218 kcal/mol of atoms; N(E_F) = 1.4 states/eV per cell
1.0
3.044 0.000 0.000
0.000 5.130 -0.006
0.000 3.113 4.844
Pb Zn Ta
1 2 1
Direct
0.500 0.500 0.500
0.500 0.500 0.000
0.000 0.000 0.000
0.000 0.000 0.500

No. 5
Ta2ZnPb, optimized geometry, DFT PBE; SG = P4/mmm, No. 123; crystal system = tetragonal; ΔE_f = 8.788 kcal/mol of atoms; N(E_F) = 1.5 states/eV per cell
1.0
4.515 0.000 0.000
0.000 4.086 0.000
0.000 0.000 4.086
Ta Pb Zn
2 1 1
Direct
0.000 0.000 0.000
0.000 0.500 0.500
0.500 0.000 0.500
0.500 0.500 0.000

No. 6
TaZnPb2, optimized geometry, DFT PBE; SG = Cm, No. 8; crystal system = monoclinic; ΔE_f = 9.941 kcal/mol of atoms; N(E_F) = 2.9 states/eV per cell
1.0
-4.167 3.450 -2.156
-3.771 1.235 -4.263
-4.672 -2.283 1.521
Zn Pb Ta
1 2 1
Direct
0.781 0.781 0.779
0.021 0.021 0.941
0.228 0.228 0.312
0.470 0.470 0.468

No. 7
TaZnPb2, optimized geometry, DFT PBE; SG = P4/mmm, No. 123; crystal system = tetragonal; ΔE_f = 10.818 kcal/mol of atoms; N(E_F) = 1.4 states/eV per cell
1.0
3.769 0.000 0.000
0.000 3.766 0.000
0.000 0.000 6.201
Zn Ta Pb
1 1 2
Direct
0.500 0.500 0.750
0.500 0.500 0.250
0.000 0.000 0.498
0.000 0.000 0.002

No. 8
TaZn2Pb, optimized geometry, DFT PBE; SG = Pmm2, No. 25; crystal system = orthorhombic; ΔE_f = 7.843 kcal/mol of atoms; N(E_F) = 1.8 states/eV per cell
1.0
-1.820 -1.487 -2.007
2.093 -3.145 0.432
-3.868 -1.899 4.916
Ta Zn Pb
1 2 1
Direct
0.500 0.500 0.790
0.000 0.000 0.005
0.500 0.500 0.206
0.000 0.000 0.499

No. 9
TaZn4Pb, optimized geometry, DFT PBE; SG = F-43m, No. 216; crystal system = cubic; ΔE_f = 7.771 kcal/mol of atoms; N(E_F) = 4.7 states/eV per cell
1.0
0.000 3.740 3.740
3.740 0.000 3.740
3.740 3.740 0.000
Ta Zn Pb
1 4 1
Direct
0.000 0.000 0.000
0.373 0.881 0.373
0.373 0.373 0.881
0.881 0.373 0.373
0.373 0.373 0.373
0.750 0.750 0.750

No. 10
Ta2ZnPb, optimized geometry, DFT PBE; SG = Pm, No. 6; crystal system = monoclinic; ΔE_f = 8.544 kcal/mol of atoms; N(E_F) = 1.7 states/eV per cell
1.0
-0.720 3.036 -3.274
-0.744 -2.226 -1.901
-5.656 -0.378 0.893
Zn Pb Ta
1 1 2
Direct
0.000 0.604 0.459
0.500 0.626 0.759
0.500 0.239 0.273
0.000 0.031 0.009

No. 11
Ta2ZnPb, optimized geometry, DFT PBE; SG = C2/m, No. 12; crystal system = monoclinic; ΔE_f = 9.713 kcal/mol of atoms; N(E_F) = 1.7 states/eV per cell
1.0
-5.144 1.699 1.149
0.524 -4.101 -3.685
-0.906 -2.270 1.660
Ta Zn Pb
2 1 1
Direct
0.000 0.000 0.000
0.500 0.500 0.000
0.500 0.000 0.500
0.000 0.500 0.500

No. 12
TaZnPb2, optimized geometry, DFT PBE; SG = R-3m, No. 166; crystal system = trigonal; ΔE_f = 10.695 kcal/mol of atoms; N(E_F) = 3.4 states/eV per cell
1.0
-2.429 -1.144 -11.567
-0.196 -3.361 -11.387
-3.185 -4.075 -10.689
Zn Ta Pb
1 1 2
Direct
0.750 0.750 0.750
0.250 0.250 0.250
0.992 0.992 0.992
0.508 0.508 0.508